CsHg2SbPb: relaxed, PBE.

Total magnetic moment, μB/f.u.: 0.00
Crystal system: orthorhombic
DOS(E_F), states/eV per cell: 0.8
Energy relative to the elements, uncorrected, eV per atom: -0.19
ΔE to the lowest computed polymorph, eV per formula unit: 0.00

Cell lengths 5.143, 5.593, 7.264 Å; angles 112.64, 110.73, 90.00 degrees
Fractional coordinates of all 5 atoms:
Sb 0.827 0.827 0.653
Hg 0.689 0.189 0.377
Hg 0.067 0.067 0.134
Pb 0.188 0.688 0.375
Cs 0.442 0.442 0.884